# ErPaS3

A relaxed structure of ErPaS3 (PBE-GGA, Alexandria via LeMat-Bulk).

```
ErPaS3
1.0
3.865 0.000 0.000
0.000 7.316 0.000
0.000 0.000 14.848
Er Pa S
4 4 12
Direct
0.250 0.260 0.956 Er
0.250 0.760 0.544 Er
0.750 0.240 0.456 Er
0.750 0.740 0.044 Er
0.750 0.875 0.790 Pa
0.250 0.125 0.210 Pa
0.750 0.375 0.710 Pa
0.250 0.625 0.290 Pa
0.250 0.376 0.569 S
0.750 0.849 0.223 S
0.750 0.492 0.893 S
0.750 0.992 0.607 S
0.750 0.624 0.431 S
0.250 0.008 0.393 S
0.250 0.876 0.931 S
0.750 0.349 0.277 S
0.250 0.651 0.723 S
0.250 0.151 0.777 S
0.750 0.124 0.069 S
0.250 0.508 0.107 S
```

Calculated values
Crystal system: orthorhombic
Space group: Pnma, No. 62
Formation energy (no corrections): -178.1 kJ/mol of atoms
Density: 7.8 g cm⁻³
DOS(E_F): 17.80 states/eV per cell
Total moment: 3.491 μB/cell
Polymorph energy (0 for the lowest one): 0 meV per atom


# Y12ErTm7

A relaxed structure of Y12ErTm7 (PBE-GGA, Alexandria via LeMat-Bulk).

```
Y12ErTm7
1.0
8.551 0.747 1.122
-1.660 8.422 1.122
-1.660 -2.208 8.204
Y Er Tm
12 1 7
Direct
0.816 0.249 0.690 Y
0.751 0.310 0.184 Y
0.480 0.149 0.417 Y
0.851 0.583 0.520 Y
0.310 0.184 0.751 Y
0.583 0.520 0.851 Y
0.417 0.480 0.149 Y
0.690 0.816 0.249 Y
0.149 0.417 0.480 Y
0.520 0.851 0.583 Y
0.249 0.690 0.816 Y
0.184 0.751 0.310 Y
0.000 0.000 0.000 Er
0.916 0.648 0.977 Tm
0.352 0.023 0.084 Tm
0.023 0.084 0.352 Tm
0.500 0.500 0.500 Tm
0.977 0.916 0.648 Tm
0.648 0.977 0.916 Tm
0.084 0.352 0.023 Tm
```

Calculated values
Crystal system: trigonal
Space group: R-3, No. 148
Density: 6.3 g cm⁻³
DOS(E_F): 20.42 states/eV per cell
Total moment: 0.000 μB/cell
Formation energy: 292 meV per atom
Polymorph energy (0 for the lowest one): 0 meV per atom


# Sr7Re

A relaxed structure of Sr7Re (PBE-GGA, Alexandria via LeMat-Bulk).

```
Sr7Re
1.0
-7.808 -1.008 -0.853
-5.045 4.911 3.624
-4.220 5.182 -4.247
Sr Re
7 1
Direct
0.000 0.500 0.000 Sr
0.500 0.500 0.000 Sr
0.000 0.500 0.500 Sr
0.500 0.000 0.500 Sr
0.000 0.000 0.500 Sr
0.500 0.000 0.000 Sr
0.500 0.500 0.500 Sr
0.000 0.000 0.000 Re
```

Calculated values
Crystal system: cubic
Space group: Fm-3m, No. 225
Density: 3.8 g cm⁻³
DOS(E_F): 11.00 states/eV per cell
Total moment: 2.349 μB/cell
Formation energy: 638 meV per atom


Look up the DOS(E_F) of the first one.
17.80 states/eV per cell


Repeat the second record exactly.
# Y12ErTm7

A relaxed structure of Y12ErTm7 (PBE-GGA, Alexandria via LeMat-Bulk).

```
Y12ErTm7
1.0
8.551 0.747 1.122
-1.660 8.422 1.122
-1.660 -2.208 8.204
Y Er Tm
12 1 7
Direct
0.816 0.249 0.690 Y
0.751 0.310 0.184 Y
0.480 0.149 0.417 Y
0.851 0.583 0.520 Y
0.310 0.184 0.751 Y
0.583 0.520 0.851 Y
0.417 0.480 0.149 Y
0.690 0.816 0.249 Y
0.149 0.417 0.480 Y
0.520 0.851 0.583 Y
0.249 0.690 0.816 Y
0.184 0.751 0.310 Y
0.000 0.000 0.000 Er
0.916 0.648 0.977 Tm
0.352 0.023 0.084 Tm
0.023 0.084 0.352 Tm
0.500 0.500 0.500 Tm
0.977 0.916 0.648 Tm
0.648 0.977 0.916 Tm
0.084 0.352 0.023 Tm
```

Calculated values
Crystal system: trigonal
Space group: R-3, No. 148
Density: 6.3 g cm⁻³
DOS(E_F): 20.42 states/eV per cell
Total moment: 0.000 μB/cell
Formation energy: 292 meV per atom
Polymorph energy (0 for the lowest one): 0 meV per atom